An optimized crystal structure of K2AgPF. Source: the Alexandria database, functional PBE.

abc: 6.2275 6.2275 4.1444
angles: 90.00 90.00 90.00
Last column: nearest neighbours and their distance in Å.
Space group P4/mmm (No. 123)
Inequivalent atoms, fractional coordinates:
K (0.0000, 0.5000, 0.0000) (multiplicity 2)  2 Ag 3.11
Ag (0.0000, 0.0000, 0.0000) (multiplicity 1)  2 F 2.07
P (0.5000, 0.5000, 0.5000) (multiplicity 1)  8 K 3.74, 2 P 4.14
F (0.0000, 0.0000, 0.5000) (multiplicity 1)  2 Ag 2.07

Properties
The value obtained for the size of the total moment is 0.87 Bohr magnetons per cell. As for the raw formation energy: -1.2 eV per formula unit.